The following is a DFT calculation (PBE) of LiGe4Pd5 after structural relaxation.

Results
The energy relative to the elements comes out at -0.302 eV per atom. The value obtained for the calculated total energy is -4.936 eV per atom.

Cell lengths 7.643, 8.962, 5.407 Å; angles 90.00, 90.00, 90.00 degrees
Space group Pmmn (No. 59, origin choice 2)
Symmetry-distinct sites (fractional):
1 Li 0.250 0.250 0.058
2 Ge 0.032 0.750 0.550
3 Ge 0.250 0.560 0.879
4 Pd 0.048 0.004 0.254
5 Pd 0.250 0.750 0.214

The following is a DFT calculation (PBE) of YReSnBr2 after structural relaxation.

Results
The value obtained for the calculated total energy is -4.772 eV per atom.

Cell lengths 4.887, 4.887, 5.923 Å; angles 90.00, 90.00, 90.00 degrees
Space group P4/mmm (No. 123)
Symmetry-distinct sites (fractional):
1 Y 0.000 0.000 0.000
2 Re 0.000 0.000 0.500
3 Sn 0.500 0.500 0.000
4 Br 0.000 0.500 0.500

The following is a DFT calculation (PBE) of LiBe2AuF after structural relaxation.

Results
The value obtained for the calculated total energy is -2.973 eV per atom.

Cell lengths 4.328, 4.328, 5.238 Å; angles 90.00, 90.00, 90.00 degrees
Space group P4/mmm (No. 123)
Symmetry-distinct sites (fractional):
1 Li 0.000 0.000 0.000
2 Be 0.000 0.500 0.500
3 Au 0.000 0.000 0.500
4 F 0.500 0.500 0.000

The following is a DFT calculation (PBE) of La4IrS2Cl after structural relaxation.

Results
The value obtained for the calculated total energy is -6.503 eV per atom.

Cell lengths 7.311, 4.116, 7.364 Å; angles 90.00, 109.03, 90.00 degrees
Space group P2/m (No. 10)
Symmetry-distinct sites (fractional):
1 La 0.235 0.000 0.243
2 La 0.238 0.500 0.738
3 Ir 0.000 0.500 0.000
4 S 0.000 0.000 0.500
5 S 0.500 0.500 0.500
6 Cl 0.500 0.000 0.000

Question: Which of these has the highest calculated total energy?
Answer: LiBe2AuF

Question: Which of these has the highest calculated total energy?
Answer: LiBe2AuF